DFT (PBE) results for a relaxed NaAg2PbCl6 crystal.

```
20
Lattice="6.774 -6.093 0.000 6.774 6.093 0.000 -1.035 0.000 7.155" Properties=species:S:1:pos:R:3 pbc="T T T"
Na 5.997 3.558 5.366
Na 6.515 -3.558 1.789
Ag 2.731 1.065 4.090
Ag 3.248 -1.065 0.512
Ag 9.264 1.065 6.643
Ag 9.782 -1.065 3.065
Pb 6.515 1.051 1.789
Pb 5.997 -1.051 5.366
Cl 1.761 0.462 1.840
Cl 4.559 2.683 3.031
Cl 1.244 -0.462 5.418
Cl 4.294 1.229 6.289
Cl 8.471 2.683 0.546
Cl 4.812 -1.229 2.711
Cl 7.700 1.229 4.444
Cl 4.042 -2.683 6.609
Cl 8.218 -1.229 0.867
Cl 11.269 0.462 1.738
Cl 7.953 -2.683 4.124
Cl 10.751 -0.462 5.315
```

Computed properties:
E_tot: -0.2238 Ry/atom
ρ: 3703 kg/m³
uncorrected formation energy: -0.86 eV per atom
crystal system: monoclinic
spin magnetization: 0.000 μB per formula unit



DFT (PBE) results for a relaxed Na2AgPbCl8 crystal.

```
12
Lattice="6.350 0.000 0.000 0.909 6.381 0.000 0.977 0.519 8.443" Properties=species:S:1:pos:R:3 pbc="T T T"
Na 0.385 0.374 2.047
Na 7.850 6.526 6.396
Ag 3.629 3.191 0.000
Pb 4.118 3.450 4.221
Cl 2.096 5.118 0.006
Cl 2.534 2.616 5.986
Cl 2.826 5.671 4.122
Cl 2.645 2.431 2.194
Cl 5.590 4.470 6.249
Cl 5.410 1.230 4.321
Cl 5.701 4.285 2.457
Cl 6.140 1.782 8.437
```

Computed properties:
E_tot: -0.2142 Ry/atom
ρ: 3129 kg/m³
uncorrected formation energy: -0.92 eV per atom
crystal system: triclinic
spin magnetization: 0.000 μB per formula unit



DFT (PBE) results for a relaxed Na2AgPbCl6 crystal.

```
10
Lattice="7.013 0.000 0.000 -3.500 6.079 0.000 -0.004 -4.043 6.348" Properties=species:S:1:pos:R:3 pbc="T T T"
Na 0.000 0.000 0.000
Na 0.003 4.058 3.159
Ag 3.508 2.030 2.581
Pb 0.000 0.008 5.757
Cl -1.234 2.253 1.195
Cl 0.921 -2.165 4.293
Cl 2.565 -0.055 1.193
Cl 1.422 1.892 4.290
Cl 2.182 3.884 1.196
Cl 4.672 0.294 4.287
```

Computed properties:
E_tot: -0.2336 Ry/atom
ρ: 3521 kg/m³
uncorrected formation energy: -1.15 eV per atom
crystal system: triclinic
spin magnetization: 0.000 μB per formula unit



DFT (PBE) results for a relaxed NaAgPdCl6 crystal.

```
18
Lattice="6.182 0.000 0.000 0.000 6.182 0.000 0.000 0.000 11.626" Properties=species:S:1:pos:R:3 pbc="T T T"
Na 0.000 0.000 0.000
Na 3.091 3.091 5.813
Ag 0.000 0.000 7.880
Ag 3.091 3.091 2.067
Pd 0.000 0.000 3.901
Pd 3.091 3.091 9.715
Cl 1.115 1.115 5.672
Cl 1.176 1.176 2.217
Cl 1.396 1.396 9.633
Cl 1.695 4.487 3.820
Cl 1.915 4.267 8.031
Cl 1.976 4.206 11.485
Cl 4.206 1.976 11.485
Cl 4.267 1.915 8.031
Cl 4.487 1.695 3.820
Cl 4.786 4.786 9.633
Cl 5.006 5.006 2.217
Cl 5.067 5.067 5.672
```

Computed properties:
E_tot: -0.2176 Ry/atom
ρ: 3363 kg/m³
uncorrected formation energy: -0.69 eV per atom
crystal system: tetragonal
spin magnetization: 0.000 μB per formula unit



DFT (PBE) results for a relaxed Na3Ag3PdCl8 crystal.

```
15
Lattice="7.101 -3.917 0.000 7.101 3.917 0.000 -4.153 0.000 6.483" Properties=species:S:1:pos:R:3 pbc="T T T"
Na 0.000 0.000 0.000
Na 3.550 1.959 0.000
Na 3.550 -1.959 0.000
Ag 1.474 1.959 3.242
Ag 1.474 -1.959 3.242
Ag 5.024 0.000 3.242
Pd 7.101 0.000 0.000
Cl 0.149 0.000 4.480
Cl 2.444 0.000 1.548
Cl 6.117 1.635 1.352
Cl 3.931 1.635 5.131
Cl 6.117 -1.635 1.352
Cl 3.931 -1.635 5.131
Cl 7.604 0.000 4.935
Cl 9.899 0.000 2.003
```

Computed properties:
E_tot: -0.2298 Ry/atom
ρ: 3603 kg/m³
uncorrected formation energy: -0.96 eV per atom
crystal system: monoclinic
spin magnetization: 0.000 μB per formula unit



DFT (PBE) results for a relaxed NaAgPd2Cl6 crystal.

```
10
Lattice="6.657 0.000 0.000 -3.325 5.767 0.000 -0.010 -3.840 5.794" Properties=species:S:1:pos:R:3 pbc="T T T"
Na 0.000 0.000 0.000
Ag -0.001 3.845 2.735
Pd -0.005 0.002 3.603
Pd 3.328 1.922 0.695
Cl -2.580 3.870 2.110
Cl -0.641 1.952 5.003
Cl 1.265 1.598 2.109
Cl 1.999 -0.417 5.004
Cl 4.637 0.298 2.109
Cl 5.281 -1.519 5.005
```

Computed properties:
E_tot: -0.2373 Ry/atom
ρ: 4154 kg/m³
uncorrected formation energy: -0.67 eV per atom
crystal system: triclinic
spin magnetization: 0.000 μB per formula unit



DFT (PBE) results for a relaxed NaAg2PdCl6 crystal.

```
10
Lattice="6.636 0.000 0.000 -3.125 6.088 0.000 -3.143 -1.639 5.984" Properties=species:S:1:pos:R:3 pbc="T T T"
Na 0.000 0.000 0.000
Ag 0.303 0.251 4.996
Ag 0.107 4.341 2.237
Pd 3.528 2.238 2.828
Cl -1.256 2.169 1.351
Cl -2.172 0.505 4.163
Cl -1.774 4.106 4.166
Cl 2.416 0.479 1.226
Cl 2.521 3.900 1.453
Cl 1.614 2.374 4.223
```

Computed properties:
E_tot: -0.2202 Ry/atom
ρ: 3831 kg/m³
uncorrected formation energy: -0.67 eV per atom
crystal system: triclinic
spin magnetization: 1.003 μB per formula unit



DFT (PBE) results for a relaxed NaPmAgCl5 crystal.

```
16
Lattice="4.001 -6.574 0.000 4.001 6.574 0.000 -3.461 0.000 9.413" Properties=species:S:1:pos:R:3 pbc="T T T"
Na 1.405 5.569 7.060
Na 3.136 -5.569 2.353
Pm 4.001 0.000 0.000
Pm 2.270 0.000 4.707
Ag 3.136 3.783 2.353
Ag 1.405 -3.783 7.060
Cl -1.948 1.028 8.923
Cl 1.361 2.211 3.405
Cl -0.218 -1.028 4.216
Cl 1.405 1.123 7.060
Cl -0.370 -2.211 8.111
Cl 4.910 2.211 1.302
Cl 3.136 -1.123 2.353
Cl 4.758 1.028 5.197
Cl 3.180 -2.211 6.009
Cl 6.489 -1.028 0.490
```

Computed properties:
E_tot: -0.2900 Ry/atom
ρ: 3039 kg/m³
uncorrected formation energy: -1.68 eV per atom
crystal system: monoclinic
spin magnetization: 0.000 μB per formula unit



DFT (PBE) results for a relaxed NaPmAg2Cl6 crystal.

```
10
Lattice="6.968 0.000 0.000 3.481 6.150 0.000 3.390 1.967 6.506" Properties=species:S:1:pos:R:3 pbc="T T T"
Na 0.000 0.000 0.000
Pm 6.921 4.055 3.130
Ag 3.537 1.985 2.413
Ag 10.347 6.091 4.539
Cl 5.909 6.074 4.715
Cl 4.706 4.175 1.570
Cl 5.533 2.121 4.583
Cl 8.123 5.907 1.569
Cl 9.090 3.889 4.806
Cl 8.018 2.048 1.654
```

Computed properties:
E_tot: -0.2736 Ry/atom
ρ: 3553 kg/m³
uncorrected formation energy: -1.44 eV per atom
crystal system: triclinic
spin magnetization: 0.000 μB per formula unit



DFT (PBE) results for a relaxed NaPmAgCl6 crystal.

```
18
Lattice="6.568 0.000 0.000 0.000 6.568 0.000 0.000 0.000 12.008" Properties=species:S:1:pos:R:3 pbc="T T T"
Na 0.000 0.000 0.000
Na 3.284 3.284 6.004
Pm 0.000 0.000 8.059
Pm 3.284 3.284 2.054
Ag 0.000 0.000 3.968
Ag 3.284 3.284 9.972
Cl 1.208 1.208 5.855
Cl 1.289 1.289 2.115
Cl 1.300 1.300 9.950
Cl 1.984 4.583 3.946
Cl 1.995 4.573 8.119
Cl 2.076 4.492 11.859
Cl 4.492 2.076 11.859
Cl 4.573 1.995 8.119
Cl 4.583 1.984 3.946
Cl 5.268 5.268 9.950
Cl 5.279 5.279 2.115
Cl 5.360 5.360 5.855
```

Computed properties:
E_tot: -0.2714 Ry/atom
ρ: 3133 kg/m³
uncorrected formation energy: -1.47 eV per atom
crystal system: tetragonal
spin magnetization: 1.077 μB per formula unit



DFT (PBE) results for a relaxed Na2PrAgCl6 crystal.

```
10
Lattice="7.089 0.000 0.000 -3.535 6.148 0.000 -3.533 -2.045 6.350" Properties=species:S:1:pos:R:3 pbc="T T T"
Na 0.000 0.000 0.000
Na -3.533 2.054 3.271
Pr 0.011 0.004 3.831
Ag 0.015 4.101 0.852
Cl -2.429 4.313 2.008
Cl -4.535 3.974 5.172
Cl -1.365 1.968 5.178
Cl 1.049 1.872 2.008
Cl 2.401 0.215 5.170
Cl 4.960 -0.030 2.010
```

Computed properties:
E_tot: -0.2824 Ry/atom
ρ: 3045 kg/m³
uncorrected formation energy: -1.71 eV per atom
crystal system: triclinic
spin magnetization: 0.000 μB per formula unit



DFT (PBE) results for a relaxed Na2AgPtCl6 crystal.

```
10
Lattice="6.718 0.000 0.000 3.236 6.079 0.000 3.155 1.838 6.032" Properties=species:S:1:pos:R:3 pbc="T T T"
Na 0.000 0.000 0.000
Na 6.422 3.887 3.220
Ag 3.236 1.861 2.423
Pt 9.738 5.829 5.620
Cl 4.955 6.091 4.297
Cl 4.649 3.811 0.940
Cl 5.146 1.545 4.070
Cl 7.352 5.713 1.014
Cl 9.021 4.026 4.277
Cl 7.769 2.244 1.241
```

Computed properties:
E_tot: -0.2353 Ry/atom
ρ: 3786 kg/m³
uncorrected formation energy: -0.94 eV per atom
crystal system: triclinic
spin magnetization: 0.942 μB per formula unit